No. 1
DyCuNi4Sn2: optimized geometry, PBE.

```
DyCuNi4Sn2
1.0
2.124 1.226 8.155
-2.124 1.226 8.155
0.000 -2.453 8.155
Dy Cu Ni Sn
1 1 4 2
direct
0.000 0.000 0.000
0.500 0.500 0.500
0.132 0.132 0.132
0.401 0.401 0.401
0.599 0.599 0.599
0.868 0.868 0.868
0.241 0.241 0.241
0.759 0.759 0.759
```

Calculated values
**Total magnetic moment**: 0.00 μB/f.u.
**Formation enthalpy at 0 K**: -0.275 eV per atom
**Calculated density**: 9.098 g cm⁻³

***

No. 2
TbDyCuNi: optimized geometry, PBE.

```
TbDyCuNi
1.0
4.404 0.000 0.000
0.000 1.853 5.117
0.000 -1.853 5.117
Tb Dy Cu Ni
1 1 1 1
direct
0.000 0.000 0.000
0.500 0.722 0.722
0.500 0.432 0.432
0.000 0.289 0.289
```

Calculated values
**Total magnetic moment**: 0.00 μB/f.u.
**Formation enthalpy at 0 K**: -0.354 eV per atom
**Calculated density**: 8.824 g cm⁻³

***

No. 3
TbDyCuNi: optimized geometry, PBE.

```
TbDyCuNi
1.0
0.000 3.428 3.428
3.428 0.000 3.428
3.428 3.428 0.000
Tb Dy Cu Ni
1 1 1 1
direct
0.000 0.000 0.000
0.500 0.500 0.500
0.250 0.250 0.250
0.750 0.750 0.750
```

Calculated values
**Total magnetic moment**: 0.00 μB/f.u.
**Formation enthalpy at 0 K**: -0.314 eV per atom
**Calculated density**: 9.147 g cm⁻³

***

No. 4
DyThCuNi: optimized geometry, PBE.

```
DyThCuNi
1.0
0.000 3.488 3.488
3.488 0.000 3.488
3.488 3.488 0.000
Dy Th Cu Ni
1 1 1 1
direct
0.000 0.000 0.000
0.500 0.500 0.500
0.250 0.250 0.250
0.750 0.750 0.750
```

Calculated values
**Total magnetic moment**: 0.00 μB/f.u.
**Formation enthalpy at 0 K**: -0.227 eV per atom
**Calculated density**: 10.114 g cm⁻³